This record from Alexandria describes crystalline NdY3Rh2 at its relaxed geometry. The functional is PBE-GGA.

Cell lengths 4.286, 8.426, 10.487 Å; angles 69.01, 78.21, 75.27 degrees
Fractional coordinates of all 12 atoms:
Nd: 0.445 0.399 0.712
Nd: 0.555 0.601 0.288
Y: 0.075 0.018 0.832
Y: 0.925 0.982 0.168
Y: 0.712 0.669 0.907
Y: 0.288 0.331 0.093
Y: 0.830 0.810 0.530
Y: 0.170 0.190 0.470
Rh: 0.882 0.317 0.919
Rh: 0.118 0.683 0.081
Rh: 0.638 0.071 0.654
Rh: 0.362 0.929 0.346

Summary:
**Space-group type**: No. 12
**Formation energy from the elements**: -544 meV/atom
**N(E_F)**: 0.92 states/eV per atom
**Final energy**: -84.3 eV for the cell shown
**Spin magnetization**: 0.00 μB per formula unit



This record from Alexandria describes crystalline PmTcMo2 at its relaxed geometry. The functional is PBE-GGA.

Cell lengths 4.650, 4.650, 4.652 Å; angles 60.01, 60.01, 60.00 degrees
Fractional coordinates of all 4 atoms:
Mo: 0.750 0.750 0.750
Mo: 0.250 0.250 0.250
Tc: 0.500 0.500 0.500
Pm: 0.000 0.000 0.000

Summary:
**Space-group type**: No. 225
**Formation energy from the elements**: 437 meV/atom
**N(E_F)**: 1.57 states/eV per atom
**Final energy**: -35.0 eV for the cell shown
**Spin magnetization**: 0.00 μB per formula unit